Entry 1:
# TcB2N2

A relaxed TcB2N2 crystal (PBE-GGA, Alexandria).

Cell lengths 5.9566, 5.9566, 2.7156 Å; angles 90.00, 90.00, 90.00 degrees
With the nearest neighbours (Å) after each atom.
Space group P4/mbm (No. 127)
Unique sites:
Tc  0.0000  0.0000  0.0000 x2  4 N 2.23
B  0.1966  0.3034  0.5000 x4  2 N 1.39
N  0.1621  0.3379  0.0000 x4  2 B 1.39

Values from the calculation:
The value obtained for the formation energy (no corrections) is 0.12 eV/atom. For the energy relative to the lowest polymorph listed for this composition, the calculation gives 0.000 eV per atom.

Entry 2:
# Li2SmHg

A relaxed Li2SmHg crystal (PBE-GGA, Alexandria).

Cell lengths 3.5372, 22.2690, 4.7970 Å; angles 90.00, 90.00, 90.00 degrees
With the nearest neighbours (Å) after each atom.
Space group Cmcm (No. 63)
Unique sites:
Li  0.0000  0.0312  0.2500 x4  2 Li 2.77, 1 Hg 2.88
Li  0.0000  0.2418  0.7500 x4  4 Hg 2.80-3.01, 4 Li 3.00
Sm  0.0000  0.3896  0.2500 x4  4 Hg 3.18, 6 Li 3.42-3.46, 2 Sm 3.54
Hg  0.0000  0.1605  0.2500 x4  5 Li 2.80-3.01

Values from the calculation:
For the energy relative to the lowest polymorph listed for this composition, the calculation gives 0.031 eV per atom. The formation energy is -19 kJ/mol of atoms.

Entry 3:
# Tb2FeGe3Pt4

A relaxed Tb2FeGe3Pt4 crystal (PBE-GGA, Alexandria).

Cell lengths 4.2171, 4.2171, 10.3951 Å; angles 90.00, 90.00, 90.00 degrees
With the nearest neighbours (Å) after each atom.
Space group P-4m2 (No. 115)
Unique sites:
Tb  0.0000  0.5000  0.2447 x2  8 Pt 3.21-3.39, 6 Ge 3.23-3.30, 2 Fe 3.30
Fe  0.5000  0.5000  0.0000 x1  4 Pt 2.51
Ge  0.0000  0.0000  0.0000 x1  4 Pt 2.51
Ge  0.0000  0.5000  0.6371 x2  5 Pt 2.41-2.54
Pt  0.0000  0.0000  0.5000 x1  4 Ge 2.54
Pt  0.0000  0.5000  0.8690 x2  3 Ge 2.41-2.51, 2 Fe 2.51
Pt  0.5000  0.5000  0.5000 x1  4 Ge 2.54

Values from the calculation:
The formation energy is -79 kJ/mol of atoms.

Entry 4:
# HfZr5Sc2

A relaxed HfZr5Sc2 crystal (PBE-GGA, Alexandria).

Cell lengths 6.8044, 6.8044, 8.0435 Å; angles 90.00, 90.00, 90.00 degrees
With the nearest neighbours (Å) after each atom.
Space group I4mm (No. 107)
Unique sites:
Hf  0.0000  0.0000  0.0000 x2  9 Zr 3.15-3.33, 4 Sc 3.42
Zr  0.0000  0.0000  0.4142 x2  8 Zr 3.16-3.18, 1 Hf 3.33, 4 Sc 3.42
Zr  0.2198  0.2198  0.7094 x8  4 Zr 2.99-3.18, 4 Sc 3.15, 2 Hf 3.15-3.18
Sc  0.0000  0.5000  0.4596 x4  10 Zr 3.15-3.42, 2 Hf 3.42

Values from the calculation:
The formation energy is 5 kJ/mol of atoms.

Entry 5:
# Ca3In2Ni2

A relaxed Ca3In2Ni2 crystal (PBE-GGA, Alexandria).

Cell lengths 5.9140, 8.2796, 13.7576 Å; angles 90.00, 90.00, 90.00 degrees
With the nearest neighbours (Å) after each atom.
Space group Pbcm (No. 57)
Unique sites:
Ca  0.1370  0.2459  0.2500 x4  5 In 3.13-3.44, 4 Ni 3.24-3.26
Ca  0.3458  0.6033  0.5954 x8  2 Ni 2.90-3.00, 1 In 3.24
In  0.1402  0.2500  0.0000 x4  4 Ni 2.63-2.68
In  0.3473  0.5942  0.2500 x4  2 Ni 2.64
Ni  0.1241  0.5321  0.0878 x8  3 In 2.63-2.68, 1 Ni 2.88, 1 Ca 2.90

Values from the calculation:
The formation energy is -31 kJ/mol of atoms.

Entry 6:
# La6ZnTc2I3

A relaxed La6ZnTc2I3 crystal (PBE-GGA, Alexandria).

Cell lengths 7.4408, 12.8655, 8.6739 Å; angles 90.00, 106.54, 90.00 degrees
With the nearest neighbours (Å) after each atom.
Space group C2/m (No. 12)
Unique sites:
La  0.2002  0.0000  0.1879 x4  2 Tc 2.85, 1 Zn 3.12
La  0.2448  0.3192  0.1903 x8  2 Tc 2.85-2.86, 1 Zn 3.12
Zn  0.0000  0.5000  0.0000 x2  6 La 3.12
Tc  0.0000  0.1671  0.0000 x4  6 La 2.85-2.86
I  0.0000  0.0000  0.5000 x2  6 La 3.44-3.65
I  0.0000  0.3362  0.5000 x4  6 La 3.45-3.66

Values from the calculation:
The value obtained for the formation energy (no corrections) is -0.59 eV/atom.

Entry 7:
# Sb2TePbSe

A relaxed Sb2TePbSe crystal (PBE-GGA, Alexandria).

Cell lengths 5.8670, 5.8670, 5.6962 Å; angles 90.00, 90.00, 90.00 degrees
With the nearest neighbours (Å) after each atom.
Space group P4/mmm (No. 123)
Unique sites:
Sb  0.0000  0.5000  0.0000 x2  2 Pb 2.93
Te  0.0000  0.0000  0.5000 x1  2 Pb 2.85
Pb  0.0000  0.0000  0.0000 x1  2 Te 2.85, 4 Sb 2.93
Se  0.5000  0.5000  0.5000 x1  8 Sb 4.09, 4 Te 4.15

Values from the calculation:
The value obtained for the formation energy (no corrections) is 1.01 eV/atom. For the energy relative to the lowest polymorph listed for this composition, the calculation gives 0.584 eV per atom.

Entry 8:
# P2SIBr

A relaxed P2SIBr crystal (PBE-GGA, Alexandria).

Cell lengths 5.3572, 5.3572, 5.0257 Å; angles 90.00, 90.00, 90.00 degrees
With the nearest neighbours (Å) after each atom.
Space group P4/mmm (No. 123)
Unique sites:
P  0.0000  0.5000  0.0000 x2  2 I 2.68
S  0.0000  0.0000  0.5000 x1  2 I 2.51
I  0.0000  0.0000  0.0000 x1  2 S 2.51, 4 P 2.68
Br  0.5000  0.5000  0.5000 x1  8 P 3.67, 4 S 3.79

Values from the calculation:
The value obtained for the formation energy (no corrections) is 1.41 eV/atom. For the energy relative to the lowest polymorph listed for this composition, the calculation gives 0.035 eV per atom.

Entry 9:
# Mn4CrGa

A relaxed Mn4CrGa crystal (PBE-GGA, Alexandria).

Cell lengths 9.0664, 2.8486, 5.5430 Å; angles 90.00, 107.96, 90.00 degrees
With the nearest neighbours (Å) after each atom.
Space group C2/m (No. 12)
Unique sites:
Mn  0.1698  0.0000  0.3296 x4  5 Mn 2.42-2.71, 2 Cr 2.45, 2 Ga 2.49
Mn  0.1710  0.0000  0.8419 x4  4 Mn 2.37-2.42, 2 Cr 2.46, 2 Ga 2.49
Cr  0.0000  0.5000  0.0000 x2  8 Mn 2.45-2.46
Ga  0.0000  0.5000  0.5000 x2  8 Mn 2.49, 2 Cr 2.77

Values from the calculation:
For the energy relative to the lowest polymorph listed for this composition, the calculation gives 0.000 eV per atom. The formation energy is 1 kJ/mol of atoms.

Entry 10:
# CeSm3Ho6Er2

A relaxed CeSm3Ho6Er2 crystal (PBE-GGA, Alexandria).

Cell lengths 6.1507, 10.6489, 11.7439 Å; angles 90.00, 100.04, 90.00 degrees
With the nearest neighbours (Å) after each atom.
Space group C2/m (No. 12)
Unique sites:
Ce  0.0000  0.0000  0.0000 x2  6 Ho 3.51, 6 Er 3.55
Sm  0.0000  0.1676  0.5000 x4  6 Sm 3.54-3.57, 6 Ho 3.57
Sm  0.0000  0.5000  0.5000 x2  6 Sm 3.54-3.56, 6 Ho 3.57-3.58
Ho  0.2484  0.1656  0.2472 x8  1 Ce 3.51, 2 Er 3.52, 6 Ho 3.53-3.56, 3 Sm 3.57
Ho  0.2487  0.0000  0.7526 x4  1 Ce 3.51, 2 Er 3.52, 6 Ho 3.53-3.56, 3 Sm 3.57-3.58
Er  0.0000  0.3333  0.0000 x4  6 Ho 3.52, 3 Ce 3.55, 3 Er 3.55

Values from the calculation:
The formation energy is 3 kJ/mol of atoms.

Entry 11:
# Hf3NbOs

A relaxed Hf3NbOs crystal (PBE-GGA, Alexandria).

Cell lengths 4.9566, 4.9566, 4.9566 Å; angles 90.00, 90.00, 90.00 degrees
With the nearest neighbours (Å) after each atom.
Space group Pm-3m (No. 221)
Unique sites:
Hf  0.0000  0.0000  0.5000 x3  2 Os 2.48
Nb  0.5000  0.5000  0.5000 x1  12 Hf 3.50
Os  0.0000  0.0000  0.0000 x1  6 Hf 2.48

Values from the calculation:
For the energy relative to the lowest polymorph listed for this composition, the calculation gives 0.000 eV per atom. The formation energy is 65 kJ/mol of atoms.

Entry 12:
# AlBiPd2

A relaxed AlBiPd2 crystal (PBE-GGA, Alexandria).

Cell lengths 3.1721, 3.1721, 7.2734 Å; angles 90.00, 90.00, 90.00 degrees
With the nearest neighbours (Å) after each atom.
Space group P4/mmm (No. 123)
Unique sites:
Al  0.0000  0.0000  0.0000 x1  8 Pd 2.65
Bi  0.0000  0.0000  0.5000 x1  8 Pd 3.16, 4 Bi 3.17
Pd  0.5000  0.5000  0.1940 x2  4 Al 2.65, 1 Pd 2.82

Values from the calculation:
The formation energy is -52 kJ/mol of atoms.

Entry 13:
# TiHF3

A relaxed TiHF3 crystal (PBE-GGA, Alexandria).

Cell lengths 3.4931, 3.4931, 3.4931 Å; angles 90.00, 90.00, 90.00 degrees
With the nearest neighbours (Å) after each atom.
Space group Pm-3m (No. 221)
Unique sites:
Ti  0.0000  0.0000  0.0000 x1  12 F 2.47
H  0.5000  0.5000  0.5000 x1  6 F 1.75
F  0.0000  0.5000  0.5000 x3  2 H 1.75

Values from the calculation:
For the energy relative to the lowest polymorph listed for this composition, the calculation gives 0.816 eV per atom.

Entry 14:
# Ce2YSn3

A relaxed Ce2YSn3 crystal (PBE-GGA, Alexandria).

Cell lengths 4.5228, 6.3062, 13.1847 Å; angles 90.00, 90.00, 90.00 degrees
With the nearest neighbours (Å) after each atom.
Space group Immm (No. 71)
Unique sites:
Ce  0.0000  0.0000  0.1664 x4  6 Sn 3.14-3.15
Y  0.0000  0.0000  0.5000 x2  6 Sn 3.15-3.17
Sn  0.0000  0.5000  0.1680 x4  4 Ce 3.14-3.15, 2 Y 3.17
Sn  0.0000  0.5000  0.5000 x2  4 Ce 3.15, 2 Y 3.15

Values from the calculation:
The formation energy is -47 kJ/mol of atoms.

Entry 15:
# CaNiPb2

A relaxed CaNiPb2 crystal (PBE-GGA, Alexandria).

Cell lengths 7.2368, 7.2368, 7.2368 Å; angles 90.00, 90.00, 90.00 degrees
With the nearest neighbours (Å) after each atom.
Space group Fm-3m (No. 225)
Unique sites:
Ca  0.0000  0.0000  0.0000 x4  8 Pb 3.13
Ni  0.0000  0.0000  0.5000 x4  8 Pb 3.13
Pb  0.2500  0.2500  0.2500 x8  4 Ni 3.13, 4 Ca 3.13

Values from the calculation:
The formation energy is -1 kJ/mol of atoms.

Entry 16:
# TlCr2Cd

A relaxed TlCr2Cd crystal (PBE-GGA, Alexandria).

Cell lengths 3.2189, 3.7817, 6.3400 Å; angles 90.00, 90.00, 90.00 degrees
With the nearest neighbours (Å) after each atom.
Space group Pmmm (No. 47)
Unique sites:
Tl  0.0000  0.0000  0.0000 x1  8 Cr 2.96, 2 Cd 3.17, 2 Tl 3.22
Cr  0.5000  0.5000  0.2534 x2  4 Cd 2.93, 4 Tl 2.96, 4 Cr 3.13-3.22
Cd  0.0000  0.0000  0.5000 x1  8 Cr 2.93, 2 Tl 3.17, 2 Cd 3.22

Values from the calculation:
The formation energy is 57 kJ/mol of atoms.

Entry 17:
# BaMnP2S8

A relaxed BaMnP2S8 crystal (PBE-GGA, Alexandria).

Cell lengths 5.8966, 5.8966, 8.7806 Å; angles 90.00, 90.00, 120.00 degrees
With the nearest neighbours (Å) after each atom.
Space group P-3 (No. 147)
Unique sites:
Ba  0.0000  0.0000  0.0000 x1  12 S 3.43-3.50
Mn  0.0000  0.0000  0.5000 x1  6 S 2.35
P  0.3333  0.6667  0.7219 x2  4 S 2.01-2.10
S  0.0031  0.6849  0.3373 x6  1 P 2.10
S  0.3333  0.6667  0.9511 x2  1 P 2.01

Values from the calculation:
The value obtained for the formation energy (no corrections) is -0.59 eV/atom.

Entry 18:
# LaNbCo2Rh

A relaxed LaNbCo2Rh crystal (PBE-GGA, Alexandria).

Cell lengths 4.5595, 4.5595, 4.8573 Å; angles 90.00, 90.00, 90.00 degrees
With the nearest neighbours (Å) after each atom.
Space group P4/mmm (No. 123)
Unique sites:
La  0.0000  0.0000  0.0000 x1  4 Rh 3.22, 8 Co 3.33
Nb  0.5000  0.5000  0.5000 x1  4 Co 2.28, 2 Rh 2.43
Co  0.0000  0.5000  0.5000 x2  2 Nb 2.28
Rh  0.5000  0.5000  0.0000 x1  2 Nb 2.43

Values from the calculation:
The formation energy is 36 kJ/mol of atoms.

Entry 19:
# Tl2InBi

A relaxed Tl2InBi crystal (PBE-GGA, Alexandria).

Cell lengths 3.8502, 3.8502, 8.2688 Å; angles 90.00, 90.00, 90.00 degrees
With the nearest neighbours (Å) after each atom.
Space group P4/mmm (No. 123)
Unique sites:
Tl  0.0000  0.0000  0.2482 x2  4 In 3.41, 4 Bi 3.43
In  0.5000  0.5000  0.0000 x1  8 Tl 3.41
Bi  0.5000  0.5000  0.5000 x1  8 Tl 3.43

Values from the calculation:
For the energy relative to the lowest polymorph listed for this composition, the calculation gives 0.050 eV per atom. The formation energy is 4 kJ/mol of atoms.

Entry 20:
# Ho3BiPt

A relaxed Ho3BiPt crystal (PBE-GGA, Alexandria).

Cell lengths 7.6977, 14.6619, 5.1978 Å; angles 90.00, 90.00, 90.00 degrees
With the nearest neighbours (Å) after each atom.
Space group Cmmm (No. 65)
Unique sites:
Ho  0.0000  0.1345  0.0000 x4  2 Pt 2.64
Ho  0.1990  0.5000  0.5000 x4  2 Pt 2.75, 1 Ho 3.06
Ho  0.2500  0.2500  0.5000 x4  2 Pt 2.91
Bi  0.0000  0.3601  0.0000 x4  9 Ho 3.31-3.65
Pt  0.0000  0.1014  0.5000 x4  6 Ho 2.64-2.91

Values from the calculation:
The formation energy is -69 kJ/mol of atoms.

Entry 21:
# BaZrRe2

A relaxed BaZrRe2 crystal (PBE-GGA, Alexandria).

Cell lengths 9.8275, 3.7166, 6.6677 Å; angles 90.00, 105.08, 90.00 degrees
With the nearest neighbours (Å) after each atom.
Space group C2/m (No. 12)
Unique sites:
Ba  0.0000  0.0000  0.0000 x2  6 Re 3.61-4.00, 2 Ba 3.72, 4 Zr 3.82
Zr  0.0000  0.5000  0.5000 x2  6 Re 2.76-3.00
Re  0.2476  0.0000  0.6088 x4  2 Re 2.37

Values from the calculation:
For the energy relative to the lowest polymorph listed for this composition, the calculation gives 0.142 eV per atom. The formation energy is 64 kJ/mol of atoms.

Entry 22:
# Tm5Fe2Au

A relaxed Tm5Fe2Au crystal (PBE-GGA, Alexandria).

Cell lengths 7.1806, 7.1806, 14.1389 Å; angles 90.00, 90.00, 90.00 degrees
With the nearest neighbours (Å) after each atom.
Space group I4/mcm (No. 140)
Unique sites:
Tm  0.0000  0.0000  0.0000 x4  4 Fe 2.91
Tm  0.1750  0.3250  0.1384 x16  3 Fe 2.87-2.94, 2 Au 3.08
Fe  0.1090  0.3910  0.5000 x8  1 Fe 2.21
Au  0.0000  0.0000  0.2500 x4  8 Tm 3.08

Values from the calculation:
The formation energy is -28 kJ/mol of atoms.

Entry 23:
# CeZnRuRh

A relaxed CeZnRuRh crystal (PBE-GGA, Alexandria).

Cell lengths 3.6354, 4.2080, 4.3998 Å; angles 90.00, 90.00, 90.00 degrees
With the nearest neighbours (Å) after each atom.
Space group Pmmm (No. 47)
Unique sites:
Ce  0.0000  0.0000  0.0000 x1  4 Ru 2.78, 4 Rh 2.85, 4 Zn 3.04
Zn  0.0000  0.5000  0.5000 x1  4 Rh 2.78, 4 Ru 2.85, 4 Ce 3.04
Ru  0.5000  0.5000  0.0000 x1  4 Ce 2.78, 4 Zn 2.85, 4 Rh 3.04
Rh  0.5000  0.0000  0.5000 x1  4 Zn 2.78, 4 Ce 2.85, 4 Ru 3.04

Values from the calculation:
For the energy relative to the lowest polymorph listed for this composition, the calculation gives 0.000 eV per atom. The formation energy is -49 kJ/mol of atoms.

Entry 24:
# Tb2CeTmSc

A relaxed Tb2CeTmSc crystal (PBE-GGA, Alexandria).

Cell lengths 5.7724, 7.6439, 6.8391 Å; angles 90.00, 90.00, 90.00 degrees
With the nearest neighbours (Å) after each atom.
Space group Pmma (No. 51)
Unique sites:
Tb  0.2500  0.2082  0.1762 x4  1 Sc 2.94, 1 Tb 3.18
Ce  0.0000  0.5000  0.5000 x2  2 Ce 2.89, 2 Sc 3.07
Tm  0.2500  0.0000  0.6590 x2  8 Tb 3.48-3.88, 2 Tm 3.61
Sc  0.2500  0.5000  0.8956 x2  2 Tb 2.94, 2 Ce 3.07, 2 Sc 3.22

Values from the calculation:
The formation energy is 25 kJ/mol of atoms.